BaNb2TcRu | PBEsol | relaxed

Output
SG: P4/mmm (123)
Density of states at the Fermi level (states/eV per cell): 6.7
ΔE_f (eV/f.u.): 5.2

Structure (extended XYZ):
```
5
Lattice="4.8629 0.0000 0.0000 0.0000 4.8629 0.0000 0.0000 0.0000 4.8290" Properties=species:S:1:pos:R:3 pbc="T T T"
Ru 0.0000 0.0000 2.4145
Nb 0.0000 2.4314 0.0000
Nb 2.4314 0.0000 0.0000
Ba 2.4314 2.4314 2.4145
Tc 0.0000 0.0000 0.0000
```

=====

Ba6Nb5S17 | PBEsol | relaxed

Output
SG: P1 (1)
Density of states at the Fermi level (states/eV per cell): 6.9
Formation energy without anion corrections (eV/atom): -1.48

Structure (extended XYZ):
```
28
Lattice="-0.2272 -4.0215 7.7299 4.2718 -7.3661 -2.3626 8.0765 2.6124 2.5648" Properties=species:S:1:pos:R:3 pbc="T T T"
Ba 8.5918 -6.1175 1.2744
Ba 7.7659 -1.4566 1.6307
Ba 8.2062 -1.9030 6.1648
Ba 3.6907 -6.7878 1.7399
Ba 4.4192 -7.3495 6.3065
Ba 3.6168 -2.6421 6.7495
Nb 4.2457 -7.3281 -2.2494
Nb 2.2190 -1.6136 1.0196
Nb 7.9625 -5.9421 5.2268
Nb 5.8358 -4.1378 3.8002
Nb 10.1918 -7.2635 6.5408
S 4.4472 -1.0755 1.1204
S 5.9971 -6.5981 -0.6617
S 5.7484 -4.1910 1.5163
S 10.6383 -3.3066 1.3284
S 8.3899 -4.0080 3.7134
S 2.2905 -3.8921 1.2780
S 5.5813 -1.8795 4.1738
S 7.8448 0.8050 4.2820
S 9.9385 -7.0574 4.1473
S 4.5745 -9.6009 3.7470
S 6.4661 -6.9219 3.6299
S 9.7146 -4.8931 6.8104
S 3.6738 -4.8680 4.3294
S 1.4770 -5.3179 6.5348
S 6.3209 -4.5914 6.3634
S 6.1748 -2.3831 8.8652
S 7.7281 -7.7566 6.8626
```

=====

BaNbS2 | PBEsol | relaxed

Output
SG: I-42d (122)
Density of states at the Fermi level (states/eV per cell): 7.9
Formation energy without anion corrections (eV/atom): -0.97

Structure (extended XYZ):
```
8
Lattice="5.9208 0.0000 0.0000 0.0000 5.9208 0.0000 -2.9604 -2.9604 6.5510" Properties=species:S:1:pos:R:3 pbc="T T T"
S 2.1533 4.4406 1.6377
S 3.7675 1.4802 1.6377
S -1.4802 -0.8071 4.9132
S 1.4802 0.8071 4.9132
Nb 2.9604 0.0000 3.2755
Nb 2.9604 2.9604 0.0000
Ba 0.0000 2.9604 3.2755
Ba 0.0000 0.0000 0.0000
```

=====

Ba8Nb7S24 | PBEsol | relaxed

Output
SG: P2_1/c (14)
Density of states at the Fermi level (states/eV per cell): 9.0
Formation energy without anion corrections (eV/atom): -1.47

Structure (extended XYZ):
```
78
Lattice="-4.0184 5.3031 -5.7035 2.0466 -7.6887 -8.5908 -13.9733 -9.7592 5.4055" Properties=species:S:1:pos:R:3 pbc="T T T"
Ba -5.3748 0.2530 -6.9200
Ba -3.8046 -1.1867 -2.6350
Ba -5.2278 -6.2380 -9.0555
Ba -6.9950 -4.7682 -2.6042
Ba -3.4523 -7.5746 -4.8138
Ba -9.2583 -0.8705 -3.9969
Ba -6.6868 -11.2743 -4.8919
Ba -12.4928 -4.5702 -4.0750
Ba -8.9501 -7.3766 -6.2846
Ba -12.1405 -10.9582 -6.2538
Ba -10.7173 -5.9069 0.1667
Ba -10.5703 -12.3979 -1.9688
Ba -13.8717 -9.7694 0.0294
Ba -16.3026 -5.8253 -1.4448
Ba 0.3575 -6.3195 -7.4440
Ba -2.0734 -2.3755 -8.9182
Nb -1.3563 -3.6685 -5.0089
Nb -3.5219 -2.3295 1.1684
Nb -4.4308 -3.8176 -5.6962
Nb -7.2076 -3.4043 -6.6352
Nb -4.5725 -10.0823 -8.0147
Nb -5.9634 -8.7240 -1.5926
Nb -8.7375 -8.7406 -2.2536
Nb -12.4232 -9.8154 -10.0572
Nb -11.3727 -2.0626 -0.8741
Nb -14.5888 -8.4764 -3.8799
Nb -11.5143 -8.3273 -3.1926
Nb -13.2046 -7.1055 3.1987
Nb -2.0092 2.6515 -2.8518
Nb -2.7405 -5.0393 -12.0875
S -0.6244 -5.7845 -4.3590
S -4.4569 -3.6147 -11.0954
S -5.2943 -2.9691 -8.0165
S -1.8439 -5.6681 -9.9298
S -6.3291 0.8194 -3.6738
S -2.7279 -5.0014 -6.8824
S -6.1776 -2.2506 -4.7464
S -6.9872 -1.6440 -1.6006
S -2.6678 -8.0845 -8.0173
S -3.6024 -4.3832 -3.5727
S -6.0889 -5.5635 -5.8372
S -4.5448 -3.7003 -0.4998
S -5.9235 -8.6439 -6.8423
S -4.4402 -6.7477 -1.6023
S -6.8571 -8.0098 -3.7662
S -7.3283 -5.4028 -11.5797
S -7.8564 -4.3104 0.5946
S -7.6852 -7.3577 -0.4611
S -8.2599 -4.7872 -8.4277
S -8.6168 -6.7421 2.6909
S -8.0887 -7.8344 -9.4834
S -9.0880 -4.1351 -5.1226
S -11.5049 -5.3971 -7.2865
S -10.0216 -3.5009 -2.0465
S -11.4003 -8.4446 -8.3890
S -12.3427 -7.7617 -5.3161
S -9.8562 -6.5814 -3.0516
S -13.2773 -4.0604 -0.8715
S -8.9579 -10.5008 -7.2882
S -13.2172 -7.1435 -2.0064
S -9.7675 -9.8943 -4.1424
S -14.1012 -6.4767 1.0410
S -9.6160 -12.9642 -5.2150
S -10.6508 -9.1758 -0.8723
S -12.9982 -10.3329 -3.1189
S -12.9231 -13.4990 -4.1924
S -11.4882 -8.5301 2.2066
S -15.3207 -6.3604 -4.5298
S -13.7326 -12.8620 -1.1315
S -14.7499 -9.0951 3.3047
S -14.4169 -10.3004 -8.7894
S -0.7186 -2.4267 -3.1868
S -15.2265 -9.7182 -5.7020
S -1.5282 -1.8444 -0.0994
S -1.1952 -3.0497 -12.1935
S -2.2125 0.7172 -7.7572
S -3.0220 1.3542 -4.6964
S -2.9469 -1.8119 -5.7699
```

=====

Across the entries above, E_tot takes the values -40.0, -183.1, -51.2, -511.3 eV for the cell shown, respectively.